# 1
Er4TlPbSe2 | PBE | optimized geometry

Cell lengths 3.9345, 8.2125, 6.7592 Å; angles 73.70, 90.00, 90.00 degrees
Atoms (fractional coordinates):
Er1 0.0000 0.7834 0.7373
Er2 0.0000 0.2166 0.2627
Er3 0.5000 0.7835 0.2423
Er4 0.5000 0.2165 0.7577
Tl1 0.0000 0.5000 0.5000
Pb1 0.5000 0.5000 0.0000
Se1 0.0000 0.0000 0.0000
Se2 0.5000 0.0000 0.5000

Values from the calculation:
Raw formation energy, eV/atom: -1.034
M_tot, μB per formula unit: 0.0
E, eV/atom: -4.9463



# 2
Er2Tl3PbSe6 | PBE | optimized geometry

Cell lengths 4.1920, 9.0101, 9.9660 Å; angles 106.61, 102.14, 90.00 degrees
Atoms (fractional coordinates):
Er1 0.8305 0.6642 0.6611
Er2 0.1695 0.3358 0.3389
Tl1 0.5000 0.5000 0.0000
Tl2 0.8344 0.1662 0.6688
Tl3 0.1656 0.8338 0.3312
Pb1 0.5000 0.0000 0.0000
Se1 0.3351 0.8820 0.6701
Se2 0.6763 0.5582 0.3526
Se3 0.6649 0.1180 0.3299
Se4 0.0155 0.2530 0.0311
Se5 0.9845 0.7470 0.9689
Se6 0.3237 0.4418 0.6474

Values from the calculation:
Raw formation energy, eV/atom: -1.042
M_tot, μB per formula unit: 0.0
E, eV/atom: -4.4453



# 3
ErTl2PbSe4 | PBE | optimized geometry

Cell lengths 4.2215, 7.7647, 7.5717 Å; angles 71.19, 90.00, 90.00 degrees
Atoms (fractional coordinates):
Er1 0.0000 0.5000 0.5000
Tl1 0.0000 0.0000 0.0000
Tl2 0.5000 0.0000 0.5000
Pb1 0.5000 0.5000 0.0000
Se1 0.0000 0.7279 0.7351
Se2 0.0000 0.2721 0.2649
Se3 0.5000 0.7135 0.2792
Se4 0.5000 0.2865 0.7208

Values from the calculation:
Raw formation energy, eV/atom: -0.870
M_tot, μB per formula unit: 0.0
E, eV/atom: -4.2374



# 4
Er6TlPb2Se3 | PBE | optimized geometry

Cell lengths 3.9652, 8.9987, 9.8457 Å; angles 113.00, 101.62, 90.00 degrees
Atoms (fractional coordinates):
Er1 0.3276 0.9485 0.6553
Er2 0.6635 0.5878 0.3270
Er3 0.6724 0.0515 0.3447
Er4 0.9881 0.2699 0.9762
Er5 0.0119 0.7301 0.0238
Er6 0.3365 0.4122 0.6730
Tl1 0.5000 0.0000 0.0000
Pb1 0.8430 0.6922 0.6860
Pb2 0.1570 0.3078 0.3140
Se1 0.5000 0.5000 0.0000
Se2 0.8305 0.1781 0.6610
Se3 0.1695 0.8219 0.3390

Values from the calculation:
Raw formation energy, eV/atom: -1.042
M_tot, μB per formula unit: 0.0
E, eV/atom: -5.0099



# 5
ErTmPbSe | PBE | optimized geometry

Cell lengths 4.2503, 4.2480, 5.9856 Å; angles 90.00, 90.00, 90.00 degrees
Atoms (fractional coordinates):
Er1 0.5000 0.3913 0.0925
Tm1 0.0000 0.8917 0.5924
Pb1 0.0000 0.8913 0.0924
Se1 0.5000 0.3917 0.5925

Values from the calculation:
Raw formation energy, eV/atom: -1.054
M_tot, μB per formula unit: 0.0
E, eV/atom: -5.1112



# 6
YErPbSe | PBE | optimized geometry

Cell lengths 4.2795, 4.2795, 6.0264 Å; angles 89.99, 90.00, 90.00 degrees
Atoms (fractional coordinates):
Y1 0.5000 0.3916 0.5927
Er1 0.0000 0.8914 0.0922
Pb1 0.0000 0.8916 0.5922
Se1 0.5000 0.3915 0.0927

Values from the calculation:
Raw formation energy, eV/atom: -1.101
M_tot, μB per formula unit: 0.0
E, eV/atom: -5.6564



# 7
Er4SiPb | PBE | optimized geometry

Cell lengths 5.8470, 6.5352, 9.6964 Å; angles 90.00, 119.93, 90.00 degrees
Atoms (fractional coordinates):
Er1 0.5909 0.2500 0.4506
Er2 0.4091 0.7500 0.5494
Er3 0.6812 0.2500 0.8451
Er4 0.3188 0.7500 0.1549
Er5 0.8974 0.0056 0.2471
Er6 0.1026 0.5056 0.7529
Er7 0.8974 0.4944 0.2471
Er8 0.1026 0.9944 0.7529
Si1 0.1891 0.2500 0.5372
Si2 0.8109 0.7500 0.4628
Pb1 0.3167 0.2500 0.0810
Pb2 0.6833 0.7500 0.9190

Values from the calculation:
Raw formation energy, eV/atom: -0.461
M_tot, μB per formula unit: 0.0
E, eV/atom: -5.0250



# 8
Er5Si2Pb2 | PBE | optimized geometry

Cell lengths 7.8184, 7.7575, 8.5798 Å; angles 90.00, 62.89, 90.00 degrees
Atoms (fractional coordinates):
Er1 0.0000 0.0000 0.0000
Er2 0.5000 0.5000 0.0000
Er3 0.4521 0.1707 0.7519
Er4 0.7960 0.8293 0.7519
Er5 0.2960 0.6707 0.7519
Er6 0.9521 0.3293 0.7519
Er7 0.5479 0.8293 0.2481
Er8 0.2040 0.1707 0.2481
Er9 0.7040 0.3293 0.2481
Er10 0.0479 0.6707 0.2481
Si1 0.1280 0.3710 0.0000
Si2 0.8720 0.6290 0.0000
Si3 0.3720 0.8710 0.0000
Si4 0.6280 0.1290 0.0000
Pb1 0.2139 0.0000 0.5723
Pb2 0.7139 0.5000 0.5723
Pb3 0.7861 0.0000 0.4277
Pb4 0.2861 0.5000 0.4277

Values from the calculation:
Raw formation energy, eV/atom: -0.636
M_tot, μB per formula unit: 0.0
E, eV/atom: -5.1997